NaMn3O4 at its PBEsol-relaxed geometry, computed with SCAN.

abc: 3.149 5.269 5.269
angles: 105.66 93.81 93.81
Atoms (fractional coordinates):
O1 0.000 0.731 0.269
Mn1 0.500 0.000 0.500
O2 0.545 0.271 0.271
O3 0.455 0.729 0.729
Na1 0.000 0.000 0.000
O4 0.000 0.269 0.731
Mn2 0.500 0.500 0.000
Mn3 0.000 0.500 0.500

Computed properties:
The space group is No. 12. Its uncorrected formation energy is -1.9925 eV/atom. The value obtained for the energy is -0.459 Ha/atom.

---

NaMnO2 at its PBEsol-relaxed geometry, computed with SCAN.

abc: 2.847 4.840 6.294
angles: 90.00 90.00 90.00
Atoms (fractional coordinates):
O1 0.500 0.000 0.328
O2 0.000 0.500 0.672
O3 0.500 0.000 0.919
Na1 0.000 0.000 0.625
Mn1 0.000 0.000 0.125
Mn2 0.500 0.500 0.875
O4 0.000 0.500 0.081
Na2 0.500 0.500 0.375

Computed properties:
The space group is No. 59. Its uncorrected formation energy is -2.1193 eV/atom. The energy above the most stable polymorph in this dataset is 0.004 eV per atom. The value obtained for the energy is -0.399 Ha/atom.

---

NaMn2O4 at its PBEsol-relaxed geometry, computed with SCAN.

abc: 5.906 5.905 5.907
angles: 120.01 90.00 120.00
Atoms (fractional coordinates):
Mn1 0.000 0.000 0.000
O1 0.230 0.040 0.270
O2 0.770 0.960 0.730
Na1 0.375 0.750 0.125
Mn2 0.500 0.500 0.500
O3 0.810 0.040 0.270
O4 0.190 0.960 0.730
O5 0.770 0.540 0.730
O6 0.230 0.460 0.270
Mn3 0.000 0.500 0.500
Mn4 0.000 0.000 0.500
Na2 0.625 0.250 0.875
O7 0.770 0.540 0.310
O8 0.230 0.460 0.690

Computed properties:
The space group is No. 227. Its uncorrected formation energy is -2.0801 eV/atom. The energy above the most stable polymorph in this dataset is 0.083 eV per atom. The value obtained for the energy is -0.421 Ha/atom.

---

Na2MnO at its PBEsol-relaxed geometry, computed with SCAN.

abc: 4.628 4.628 4.628
angles: 60.00 60.00 60.00
Atoms (fractional coordinates):
Na1 0.250 0.250 0.250
Na2 0.750 0.750 0.750
O1 0.000 0.000 0.000
Mn1 0.500 0.500 0.500

Computed properties:
The space group is No. 225. Its uncorrected formation energy is 0.1383 eV/atom. The value obtained for the energy is -0.297 Ha/atom.

---

NaMnO2 at its PBEsol-relaxed geometry, computed with SCAN.

abc: 5.060 5.060 5.060
angles: 99.67 114.58 114.58
Atoms (fractional coordinates):
Mn1 0.000 0.000 0.000
O1 0.067 0.692 0.125
Na1 0.500 0.250 0.750
O2 0.433 0.375 0.308
Na2 0.000 0.500 0.500
O3 0.567 0.875 0.942
Mn2 0.500 0.750 0.250
O4 0.933 0.058 0.625

Computed properties:
The space group is No. 122. Its uncorrected formation energy is -1.9277 eV/atom. The energy above the most stable polymorph in this dataset is 0.196 eV per atom. The value obtained for the energy is -0.392 Ha/atom.

---

Na2Mn2O3 at its PBEsol-relaxed geometry, computed with SCAN.

abc: 5.663 6.080 6.252
angles: 90.00 90.00 116.24
Atoms (fractional coordinates):
Na1 0.437 0.237 0.636
Mn1 0.477 0.697 0.879
O1 0.763 0.449 0.377
O2 0.263 0.449 0.123
Mn2 0.523 0.303 0.121
Na2 0.563 0.763 0.364
O3 0.237 0.551 0.623
Na3 0.937 0.237 0.864
O4 0.500 0.000 0.000
O5 0.737 0.551 0.877
Mn3 0.977 0.697 0.621
Mn4 0.023 0.303 0.379
O6 0.000 0.000 0.500
Na4 0.063 0.763 0.136

Computed properties:
The space group is No. 14. Its uncorrected formation energy is -1.7271 eV/atom. The energy above the most stable polymorph in this dataset is 0.024 eV per atom. The value obtained for the energy is -0.398 Ha/atom.

---

NaMnO2 at its PBEsol-relaxed geometry, computed with SCAN.

abc: 2.849 3.193 5.523
angles: 78.43 75.05 63.51
Atoms (fractional coordinates):
Na1 0.500 0.000 0.000
O1 0.702 0.302 0.294
Mn1 0.000 0.500 0.500
O2 0.298 0.698 0.706

Computed properties:
The space group is No. 12. Its uncorrected formation energy is -2.1237 eV/atom. The energy above the most stable polymorph in this dataset is 0.000 eV per atom. The value obtained for the energy is -0.399 Ha/atom.

---

NaPr2Ti2MnO9 at its PBEsol-relaxed geometry, computed with SCAN.

abc: 5.451 5.518 22.913
angles: 89.64 89.86 88.12
Atoms (fractional coordinates):
Pr1 0.507 0.540 0.249
O1 0.292 0.729 0.348
Mn1 0.505 0.000 0.501
O2 0.291 0.731 0.681
O3 0.769 0.771 0.179
O4 0.220 0.225 0.683
O5 0.568 0.004 0.083
O6 0.579 0.010 0.418
Pr2 0.509 0.542 0.583
O7 0.781 0.788 0.846
Pr3 0.010 0.960 0.083
Ti1 0.012 0.497 0.167
Mn2 0.001 0.496 0.666
O8 0.208 0.205 0.154
Na1 0.994 0.024 0.583
O9 0.780 0.776 0.320
Pr4 0.014 0.960 0.751
Ti2 0.001 0.492 0.503
Ti3 0.505 0.000 0.330
O10 0.273 0.706 0.486
O11 0.224 0.217 0.484
Ti4 0.505 0.003 0.663
O12 0.225 0.219 0.818
Pr5 0.497 0.462 0.750
O13 0.692 0.289 0.657
O14 0.690 0.287 0.323
Pr6 0.496 0.460 0.416
Na2 0.995 0.023 0.249
O15 0.780 0.783 0.513
Mn3 0.507 0.004 0.835
Pr7 0.014 0.958 0.417
O16 0.270 0.712 0.156
O17 0.771 0.774 0.988
O18 0.709 0.284 0.988
O19 0.931 0.516 0.415
O20 0.070 0.477 0.250
Pr8 0.510 0.552 0.917
O21 0.933 0.514 0.084
O22 0.712 0.312 0.843
O23 0.208 0.208 0.013
O24 0.429 0.988 0.583
O25 0.428 0.984 0.249
Ti5 0.002 0.493 0.836
O26 0.579 0.013 0.752
O27 0.075 0.476 0.584
O28 0.931 0.519 0.749
O29 0.218 0.223 0.350
Ti6 0.510 0.019 0.998
O30 0.432 0.992 0.916
O31 0.779 0.777 0.654
Ti7 0.012 0.499 0.002
O32 0.269 0.715 0.011
O33 0.074 0.479 0.917
O34 0.712 0.307 0.509
Na3 0.997 0.025 0.918
Mn4 0.999 0.493 0.332
O35 0.708 0.278 0.178
Ti8 0.510 0.015 0.166
Na4 0.505 0.486 0.083
O36 0.274 0.707 0.820

Computed properties:
The space group is No. 1. Its uncorrected formation energy is -3.1992 eV/atom. The value obtained for the energy is -0.601 Ha/atom.

---

NaMnS2O at its PBEsol-relaxed geometry, computed with SCAN.

abc: 3.946 4.417 4.417
angles: 90.00 90.00 90.00
Atoms (fractional coordinates):
O1 0.000 0.000 0.000
Mn1 0.500 0.500 0.500
Na1 0.500 0.000 0.000
S1 0.000 0.500 0.000
S2 0.000 0.000 0.500

Computed properties:
The space group is No. 123. Its uncorrected formation energy is -0.2001 eV/atom. The value obtained for the energy is -0.360 Ha/atom.

---

Na3Mn2SbO6 at its PBEsol-relaxed geometry, computed with SCAN.

abc: 5.476 5.476 5.699
angles: 99.49 99.49 119.71
Atoms (fractional coordinates):
O1 0.240 0.240 0.796
Sb1 0.000 0.000 0.000
Mn1 0.666 0.334 0.000
Na1 0.172 0.828 0.500
O2 0.068 0.378 0.209
O3 0.760 0.760 0.204
O4 0.378 0.068 0.209
O5 0.932 0.622 0.791
Na2 0.500 0.500 0.500
O6 0.622 0.932 0.791
Mn2 0.334 0.666 0.000
Na3 0.828 0.172 0.500

Computed properties:
The space group is No. 12. Its uncorrected formation energy is -1.9133 eV/atom. The value obtained for the energy is -0.449 Ha/atom.

---

NaScMn2O at its PBEsol-relaxed geometry, computed with SCAN.

abc: 4.323 4.092 4.092
angles: 90.00 90.00 90.00
Atoms (fractional coordinates):
Mn1 0.000 0.500 0.000
Sc1 0.500 0.000 0.000
O1 0.000 0.000 0.000
Na1 0.500 0.500 0.500
Mn2 0.000 0.000 0.500

Computed properties:
The space group is No. 123. Its uncorrected formation energy is -0.5054 eV/atom. The value obtained for the energy is -0.468 Ha/atom.

---

NaMn2Si3O9 at its PBEsol-relaxed geometry, computed with SCAN.

abc: 6.490 7.216 7.322
angles: 81.21 88.13 87.54
Atoms (fractional coordinates):
O1 0.735 0.465 0.412
O2 0.887 0.218 0.685
O3 0.568 0.463 0.823
O4 0.113 0.782 0.315
O5 0.432 0.537 0.177
Mn1 0.848 0.394 0.876
O6 0.941 0.762 0.667
O7 0.836 0.088 0.061
Mn2 0.868 0.937 0.839
O8 0.059 0.238 0.333
O9 0.688 0.108 0.406
O10 0.849 0.578 0.064
Si1 0.146 0.743 0.538
Na1 0.376 0.288 0.408
Na2 0.624 0.712 0.592
O11 0.312 0.892 0.594
O12 0.650 0.804 0.276
Si2 0.659 0.596 0.215
O13 0.419 0.112 0.145
Mn3 0.152 0.606 0.124
Si3 0.341 0.404 0.785
Si4 0.358 0.970 0.789
O14 0.151 0.422 0.936
Si5 0.854 0.257 0.462
O15 0.581 0.888 0.855
O16 0.164 0.912 0.939
O17 0.265 0.535 0.588
O18 0.350 0.196 0.724
Mn4 0.132 0.063 0.161
Si6 0.642 0.030 0.211

Computed properties:
The space group is No. 2. Its uncorrected formation energy is -2.6586 eV/atom. The value obtained for the energy is -0.408 Ha/atom.

---

Computed values of magnetization (unit: Bohr magnetons per cell) for the preceding records, in sequence: 13.923; 8.000; 9.993; 5.033; 8.000; 19.985; 4.000; 16.001; 5.133; 10.000; 5.966; 18.000.